Record 1
Pm2AlH, optimized geometry, DFT GGA-PBE; space-group type = Pmmm, No. 47; total moment = 0.00 μB/cell; polymorph energy (0 for the lowest one) = 0.000 eV/atom
1.0
3.612 0.000 0.000
0.000 7.437 0.000
0.000 0.000 6.787
Pm Al H
4 2 2
direct
0.500 0.264 0.000
0.500 0.264 0.500
0.500 0.736 0.500
0.500 0.736 0.000
0.000 0.000 0.250
0.000 0.000 0.750
0.500 0.500 0.250
0.500 0.500 0.750



Record 2
PmAl3H, optimized geometry, DFT GGA-PBE; space-group type = Pm-3m, No. 221; electronic total energy = -4.0313 eV per atom; total moment = 0.00 μB/cell
1.0
4.382 0.000 0.000
0.000 4.382 0.000
0.000 0.000 4.382
Al Pm H
3 1 1
direct
0.000 0.500 0.000
0.500 0.000 0.000
0.000 0.000 0.500
0.500 0.500 0.500
0.000 0.000 0.000



Record 3
Pm3AlH, optimized geometry, DFT GGA-PBE; space-group type = Pm-3m, No. 221; total moment = 0.00 μB/cell; polymorph energy (0 for the lowest one) = 0.000 eV/atom
1.0
-3.706 3.126 -0.737
-3.166 -3.365 1.643
0.542 1.717 4.561
Pm Al H
3 1 1
direct
0.000 0.500 0.000
0.000 0.000 0.500
0.500 0.000 0.000
0.500 0.500 0.500
0.000 0.000 0.000



Record 4
Pm4Al2H, optimized geometry, DFT GGA-PBE; space-group type = I4/mmm, No. 139; electronic total energy = -4.5121 eV per atom; total moment = 0.00 μB/cell
1.0
-2.823 0.547 3.682
1.474 -4.079 1.736
6.756 5.700 1.370
Al Pm H
2 4 1
direct
0.633 0.633 0.267
0.367 0.367 0.733
0.500 0.000 0.000
0.820 0.820 0.640
0.000 0.500 0.000
0.180 0.180 0.360
0.000 0.000 0.000



Record 5
Pm2AlH8, optimized geometry, DFT GGA-PBE; space-group type = C2, No. 5; electronic total energy = -3.9658 eV per atom; total moment = 0.00 μB/cell
1.0
3.650 0.000 -0.949
-0.304 4.361 -1.168
-0.149 -0.509 6.921
H Pm Al
8 2 1
direct
0.403 0.142 0.793
0.235 0.231 0.463
0.610 0.348 0.208
0.610 0.858 0.207
0.402 0.652 0.792
0.020 0.239 0.000
0.020 0.761 0.000
0.772 0.769 0.537
0.153 0.647 0.295
0.858 0.353 0.705
0.417 0.000 0.000



Record 6
PmAlHRh2, optimized geometry, DFT GGA-PBE; space-group type = Cmcm, No. 63; electronic total energy = -6.0314 eV per atom; total moment = 0.00 μB/cell
1.0
-2.727 2.105 -1.821
-2.219 -2.023 5.155
2.294 5.792 3.261
Rh H Pm Al
4 2 2 2
direct
0.845 0.691 0.457
0.845 0.691 0.043
0.155 0.309 0.957
0.155 0.309 0.543
0.000 0.000 0.500
0.000 0.000 0.000
0.561 0.122 0.250
0.439 0.878 0.750
0.715 0.429 0.750
0.285 0.571 0.250



Record 7
PmAlH8Rh2, optimized geometry, DFT GGA-PBE; space-group type = R-3m, No. 166; electronic total energy = -4.3877 eV per atom; total moment = 0.00 μB/cell
1.0
4.530 0.000 0.000
2.265 3.923 0.000
2.265 1.308 5.513
H Al Rh Pm
8 1 2 1
direct
0.817 0.817 0.549
0.378 0.949 0.724
0.183 0.183 0.451
0.949 0.378 0.724
0.622 0.051 0.276
0.051 0.051 0.276
0.949 0.949 0.724
0.051 0.622 0.276
0.000 0.000 0.000
0.715 0.715 0.854
0.285 0.285 0.146
0.500 0.500 0.500



Record 8
PmAlH8Ru2, optimized geometry, DFT GGA-PBE; space-group type = R-3m, No. 166; electronic total energy = -4.7156 eV per atom; total moment = 0.00 μB/cell
1.0
-2.854 2.634 2.395
-4.188 -1.504 1.011
-0.408 -1.835 5.880
H Ru Pm Al
8 2 1 1
direct
0.947 0.378 0.728
0.812 0.812 0.565
0.622 0.054 0.272
0.946 0.947 0.728
0.378 0.946 0.728
0.053 0.622 0.272
0.054 0.053 0.272
0.188 0.188 0.435
0.717 0.717 0.849
0.283 0.283 0.151
0.500 0.500 0.500
0.000 0.000 0.000



Record 9
Pr3AlH, optimized geometry, DFT GGA-PBE; space-group type = Pm-3m, No. 221; electronic total energy = -4.5399 eV per atom; total moment = 0.00 μB/cell
1.0
4.984 0.000 0.000
0.000 4.984 0.000
0.000 0.000 4.984
Al Pr H
1 3 1
direct
0.500 0.500 0.500
0.000 0.000 0.500
0.000 0.500 0.000
0.500 0.000 0.000
0.000 0.000 0.000



Record 10
Pr2AlH, optimized geometry, DFT GGA-PBE; space-group type = R-3m, No. 166; total moment = 0.00 μB/cell; polymorph energy (0 for the lowest one) = 0.271 eV/atom
1.0
-0.798 -1.652 -2.861
0.766 -3.295 -0.331
-8.523 -4.004 2.671
Al Pr H
1 2 1
direct
0.000 0.000 0.000
0.890 0.890 0.330
0.110 0.110 0.670
0.500 0.500 0.500



Record 11
Pr2AlH, optimized geometry, DFT GGA-PBE; space-group type = P4/mmm, No. 123; total moment = 0.00 μB/cell; polymorph energy (0 for the lowest one) = 0.000 eV/atom
1.0
3.403 0.000 0.000
0.000 3.403 0.000
0.000 0.000 7.605
Pr H Al
2 1 1
direct
0.000 0.000 0.272
0.000 0.000 0.728
0.500 0.500 0.500
0.500 0.500 0.000



Record 12
PrAlH, optimized geometry, DFT GGA-PBE; space-group type = I4mm, No. 107; total moment = 0.00 μB/cell; polymorph energy (0 for the lowest one) = 0.408 eV/atom
1.0
-1.417 -0.177 -2.920
2.555 -1.656 -1.139
-3.086 -4.011 3.550
Pr H Al
1 1 1
direct
0.608 0.608 0.217
0.066 0.066 0.133
0.325 0.325 0.650



Record 13
PrAlH, optimized geometry, DFT GGA-PBE; space-group type = P4_122, No. 91; total moment = 0.60 μB/cell; polymorph energy (0 for the lowest one) = 0.000 eV/atom
1.0
4.388 0.000 0.000
0.000 4.388 0.000
0.000 0.000 23.611
H Pr Al
8 8 8
direct
0.168 0.249 0.781
0.249 0.832 0.531
0.832 0.249 0.219
0.751 0.168 0.031
0.751 0.832 0.469
0.832 0.751 0.281
0.249 0.168 0.969
0.168 0.751 0.719
0.752 0.749 0.180
0.251 0.752 0.430
0.248 0.749 0.820
0.749 0.752 0.570
0.251 0.248 0.070
0.752 0.251 0.320
0.749 0.248 0.930
0.248 0.251 0.680
0.738 0.250 0.785
0.262 0.750 0.285
0.262 0.250 0.215
0.250 0.262 0.535
0.250 0.738 0.965
0.750 0.738 0.035
0.738 0.750 0.715
0.750 0.262 0.465



Record 14
PrAlH, optimized geometry, DFT GGA-PBE; space-group type = Pma2, No. 28; total moment = 0.42 μB/cell; polymorph energy (0 for the lowest one) = 0.254 eV/atom
1.0
-0.477 -0.939 -2.998
1.815 -3.690 0.867
-7.295 -3.087 2.127
H Al Pr
2 2 2
direct
0.813 0.717 0.822
0.813 0.217 0.971
0.811 0.216 0.311
0.811 0.716 0.482
0.311 0.716 0.084
0.311 0.216 0.709



Record 15
PrAl2H6, optimized geometry, DFT GGA-PBE; space-group type = Fm-3m, No. 225; electronic total energy = -2.9514 eV per atom; total moment = 0.00 μB/cell
1.0
4.558 0.000 2.632
1.519 4.298 2.632
0.000 0.000 5.264
H Al Pr
6 2 1
direct
0.707 0.707 0.293
0.707 0.293 0.293
0.707 0.293 0.707
0.293 0.293 0.707
0.293 0.707 0.293
0.293 0.707 0.707
0.250 0.250 0.250
0.750 0.750 0.750
0.000 0.000 0.000



Record 16
Pr2AlHPt6, optimized geometry, DFT GGA-PBE; space-group type = R-3m, No. 166; electronic total energy = -6.1502 eV per atom; total moment = 0.00 μB/cell
1.0
5.754 0.003 0.000
-0.003 6.933 0.860
2.875 4.044 4.917
Al Pt H Pr
1 6 1 2
direct
0.000 0.000 0.000
0.732 0.268 0.042
0.226 0.268 0.042
0.268 0.226 0.464
0.268 0.732 0.958
0.774 0.732 0.958
0.732 0.774 0.536
0.500 0.500 0.000
0.718 0.282 0.563
0.282 0.718 0.437



Record 17
PrAlH8Ru2, optimized geometry, DFT GGA-PBE; space-group type = R-3m, No. 166; electronic total energy = -4.7200 eV per atom; total moment = 0.00 μB/cell
1.0
4.592 0.000 0.000
2.296 3.977 0.000
2.296 1.326 5.624
H Al Ru Pr
8 1 2 1
direct
0.945 0.378 0.732
0.055 0.622 0.268
0.811 0.811 0.568
0.055 0.055 0.268
0.189 0.189 0.432
0.378 0.945 0.732
0.622 0.055 0.268
0.945 0.945 0.732
0.000 0.000 0.000
0.716 0.716 0.851
0.284 0.284 0.149
0.500 0.500 0.500



Record 18
PrAl2SiH2, optimized geometry, DFT GGA-PBE; space-group type = P2_1/m, No. 11; electronic total energy = -4.2455 eV per atom; total moment = 0.00 μB/cell
1.0
-2.979 3.732 -3.039
-5.177 -2.011 2.606
3.427 4.664 2.368
Al Si H Pr
4 2 4 2
direct
0.507 0.265 0.250
0.493 0.735 0.750
0.007 0.735 0.750
0.993 0.265 0.250
0.750 0.860 0.151
0.250 0.140 0.849
0.250 0.189 0.379
0.750 0.451 0.549
0.250 0.549 0.451
0.750 0.811 0.621
0.250 0.756 0.241
0.750 0.244 0.759



Record 19
AlH2Pt, optimized geometry, DFT GGA-PBE; space-group type = Fm-3m, No. 225; total moment = 0.00 μB/cell; polymorph energy (0 for the lowest one) = 0.396 eV/atom
1.0
0.000 2.666 2.666
2.666 0.000 2.666
2.666 2.666 0.000
Al Pt H
1 1 2
direct
0.000 0.000 0.000
0.500 0.500 0.500
0.250 0.250 0.250
0.750 0.750 0.750



Record 20
Al2HPt, optimized geometry, DFT GGA-PBE; space-group type = Fm-3m, No. 225; total moment = 0.00 μB/cell; polymorph energy (0 for the lowest one) = 0.140 eV/atom
1.0
0.000 2.981 2.981
2.981 0.000 2.981
2.981 2.981 0.000
Al H Pt
2 1 1
direct
0.250 0.250 0.250
0.750 0.750 0.750
0.000 0.000 0.000
0.500 0.500 0.500



Record 21
AlHPt2, optimized geometry, DFT GGA-PBE; space-group type = Fm-3m, No. 225; total moment = 0.00 μB/cell; polymorph energy (0 for the lowest one) = 0.275 eV/atom
1.0
-1.389 -3.864 0.538
-3.977 -0.657 0.950
-2.544 -1.694 -2.795
Pt Al H
2 1 1
direct
0.750 0.750 0.750
0.250 0.250 0.250
0.500 0.500 0.500
0.000 0.000 0.000



Record 22
AlH2Pt2, optimized geometry, DFT GGA-PBE; space-group type = I4/mmm, No. 139; total moment = 0.00 μB/cell; polymorph energy (0 for the lowest one) = 0.063 eV/atom
1.0
-1.452 0.996 2.688
-2.501 -1.913 -0.642
0.244 -4.234 3.622
Al H Pt
1 2 2
direct
0.000 0.000 0.000
0.750 0.250 0.500
0.250 0.750 0.500
0.637 0.637 0.726
0.363 0.363 0.274



Record 23
AlH2Pt, optimized geometry, DFT GGA-PBE; space-group type = I-42d, No. 122; total moment = 0.00 μB/cell; polymorph energy (0 for the lowest one) = 0.000 eV/atom
1.0
3.657 0.000 0.000
0.000 3.657 0.000
1.829 1.829 6.481
Al Pt H
2 2 4
direct
0.500 0.500 0.000
0.250 0.750 0.500
0.750 0.250 0.500
0.000 0.000 0.000
0.875 0.104 0.750
0.896 0.625 0.250
0.854 0.125 0.250
0.375 0.146 0.750



Record 24
AlH2Pt2, optimized geometry, DFT GGA-PBE; space-group type = P4/mbm, No. 127; total moment = 0.00 μB/cell; polymorph energy (0 for the lowest one) = 0.000 eV/atom
1.0
-0.759 4.150 -3.602
-3.267 -3.265 -3.073
-2.820 1.085 1.845
Al H Pt
2 4 4
direct
0.000 0.000 0.000
0.500 0.500 0.000
0.849 0.651 0.000
0.349 0.849 0.000
0.151 0.349 0.000
0.651 0.151 0.000
0.180 0.320 0.500
0.820 0.680 0.500
0.320 0.820 0.500
0.680 0.180 0.500



Record 25
Al3HPt, optimized geometry, DFT GGA-PBE; space-group type = Pm-3m, No. 221; total moment = 0.00 μB/cell; polymorph energy (0 for the lowest one) = 0.000 eV/atom
1.0
-0.739 2.817 -2.710
0.058 -2.750 -2.874
-3.908 -0.573 0.470
Al Pt H
3 1 1
direct
0.000 0.500 0.000
0.000 0.000 0.500
0.500 0.000 0.000
0.500 0.500 0.500
0.000 0.000 0.000